This record from the Alexandria database describes a relaxed Pu4TlTe6 crystal. The functional is PBE.

Structure (POSCAR):
```
Pu4TlTe6
1.0
2.2316 -7.3756 0.0000
2.2316 7.3756 0.0000
0.0000 0.0000 23.2868
Pu Tl Te
8 2 12
direct
0.0902 0.9098 0.6287
0.0902 0.9098 0.8713
0.3626 0.6374 0.5414
0.3626 0.6374 0.9586
0.6374 0.3626 0.0414
0.6374 0.3626 0.4586
0.9098 0.0902 0.1287
0.9098 0.0902 0.3713
0.1696 0.8304 0.2500
0.8304 0.1696 0.7500
0.0000 0.0000 0.0000
0.0000 0.0000 0.5000
0.1586 0.8414 0.7500
0.2726 0.7274 0.0822
0.2726 0.7274 0.4178
0.4563 0.5437 0.6595
0.4563 0.5437 0.8405
0.5437 0.4563 0.1595
0.5437 0.4563 0.3405
0.7274 0.2726 0.5822
0.7274 0.2726 0.9178
0.8414 0.1586 0.2500
```

formation energy from raw total energies = -0.866 eV per atom
space group = Cmcm
V = 766.6 Å³/cell